First-principles (PBE-GGA) data for a relaxed structure of In2Te2Pb, as listed in Alexandria via LeMat-Bulk.

Computed properties:
Formation energy from raw total energies in eV per atom: -0.09
Excess energy over the best structure of this formula in the dataset in eV per formula unit: 0.26

Geometry as POSCAR:
```
In2Te2Pb
1.0
-3.0862 -3.5736 -3.4555
-3.3859 -1.4668 4.5409
-6.1608 1.0114 -0.4974
Pb Te In
1 2 2
Cartesian
0.0000 0.0000 0.0000
-6.2415 -2.5412 -1.7051
-6.3914 -1.4878 2.2931
-4.1146 -1.4594 0.2303
-8.5183 -2.5697 0.3578
```

---

First-principles (PBE-GGA) data for a relaxed structure of InTePb3, as listed in Alexandria via LeMat-Bulk.

Computed properties:
Formation energy from raw total energies in eV per atom: 0.40
Excess energy over the best structure of this formula in the dataset in eV per formula unit: 0.00

Geometry as POSCAR:
```
InTePb3
1.0
5.8003 0.0000 0.0000
0.0000 5.8003 0.0000
0.0000 0.0000 5.8003
Pb Te In
3 1 1
Cartesian
0.0000 2.9001 0.0000
0.0000 0.0000 2.9001
2.9001 0.0000 0.0000
2.9001 2.9001 2.9001
0.0000 0.0000 0.0000
```

---

First-principles (PBE-GGA) data for a relaxed structure of InTe3Pb, as listed in Alexandria via LeMat-Bulk.

Computed properties:
Formation energy from raw total energies in eV per atom: 0.33
Excess energy over the best structure of this formula in the dataset in eV per formula unit: 2.69

Geometry as POSCAR:
```
InTe3Pb
1.0
-2.0546 0.9583 -5.4478
0.5542 -5.7466 -1.2199
-5.5037 -0.9364 1.9109
Pb Te In
1 3 1
Cartesian
0.0000 0.0000 0.0000
0.2771 -2.8733 -0.6099
-2.7518 -0.4682 0.9554
-1.0273 0.4792 -2.7239
-3.5020 -2.8623 -2.3784
```

---

First-principles (PBE-GGA) data for a relaxed structure of In4Te7Pb, as listed in Alexandria via LeMat-Bulk.

Computed properties:
Formation energy from raw total energies in eV per atom: -0.32

Geometry as POSCAR:
```
In4Te7Pb
1.0
7.2520 0.0000 0.0000
0.0000 7.4252 0.0000
0.0000 0.0000 17.7429
In Te Pb
8 14 2
Cartesian
4.4784 4.7484 15.5554
0.7895 6.2601 4.3842
4.4155 1.1651 4.4873
0.8524 2.6768 11.0590
0.8524 2.6768 6.6839
4.4784 4.7484 2.1875
0.7895 6.2601 13.3587
4.4155 1.1651 13.2557
7.2040 5.3460 1.8627
3.5780 2.0792 7.0088
3.5399 2.0907 15.7727
7.1659 5.3345 10.8417
7.1659 5.3345 6.9012
3.5399 2.0907 1.9702
3.6328 5.8297 13.0516
0.0068 1.5955 13.5628
0.0068 1.5955 4.1801
3.6328 5.8297 4.6914
3.2771 6.1592 0.0000
6.9031 1.2660 8.8715
7.2040 5.3460 15.8802
3.5780 2.0792 10.7342
2.0687 6.8550 8.8715
5.6947 0.5702 0.0000
```

---

First-principles (PBE-GGA) data for a relaxed structure of InTe2Pb, as listed in Alexandria via LeMat-Bulk.

Computed properties:
Formation energy from raw total energies in eV per atom: 0.06

Geometry as POSCAR:
```
InTe2Pb
1.0
-3.8254 -3.8232 1.2624
-1.6322 -3.6678 -3.8375
1.4575 -5.3389 0.4642
In Pb Te
1 1 2
Cartesian
-2.0000 -6.4149 -1.0555
-3.0000 -9.6224 -1.5832
0.0000 0.0000 0.0000
-1.0000 -3.2075 -0.5277
```

---

First-principles (PBE-GGA) data for a relaxed structure of InTe2Pb2, as listed in Alexandria via LeMat-Bulk.

Computed properties:
Formation energy from raw total energies in eV per atom: -0.11
Excess energy over the best structure of this formula in the dataset in eV per formula unit: 0.28

Geometry as POSCAR:
```
InTe2Pb2
1.0
6.0185 0.0000 0.0000
0.0000 6.0185 0.0000
3.0093 3.0093 5.1962
Pb Te In
2 2 1
Cartesian
3.0093 3.0093 1.5977
6.0185 6.0185 3.5984
6.0185 3.0093 2.5981
3.0093 6.0185 2.5981
0.0000 0.0000 0.0000
```